Compound: BaNp2CoO8
Source: Alexandria via LeMat-Bulk
Functional: PBE with a Hubbard U
Structure: optimized geometry

Values from the calculation:
D(E_F) (states/eV/cell): 2.39
Volume (Å³/atom): 15.92
Total energy (eV per atom): -8.4924

abc: 5.195 5.200 7.134
angles: 87.56 87.58 83.23
Element x y z (fractional)
Ba 0.000 0.000 0.000
Np 0.495 0.495 0.264
Np 0.505 0.505 0.736
Co 0.000 0.000 0.500
O 0.212 0.782 0.705
O 0.216 0.786 0.295
O 0.331 0.330 0.493
O 0.344 0.341 0.970
O 0.656 0.659 0.030
O 0.669 0.670 0.507
O 0.784 0.214 0.705
O 0.788 0.218 0.295